A relaxed V2CoP2O10 crystal, computed with PBE+U.

## Properties
- Energy above the most stable polymorph in this dataset: 0.0000 eV per atom

a = 7.451 Å, b = 6.438 Å, c = 7.373 Å
α = 89.98°, β = 90.00°, γ = 90.00°
Each line ends with the local moment (μB).
Positions (direct):
V1 0.778 0.743 0.336  1.09
O1 0.333 0.230 0.390  -0.08
O2 0.490 0.741 0.953  0.01
O3 0.495 0.223 0.706  0.03
V2 0.278 0.257 0.164  1.09
O4 0.010 0.741 0.453  0.01
Co1 0.500 0.000 0.500  2.71
P1 0.622 0.251 0.873  0.01
O5 0.005 0.223 0.206  0.03
O6 0.742 0.444 0.854  0.00
O7 0.510 0.259 0.047  0.01
O8 0.751 0.061 0.879  0.02
O9 0.505 0.777 0.294  0.03
V3 0.222 0.257 0.664  1.09
O10 0.251 0.939 0.621  0.02
V4 0.722 0.743 0.836  1.09
O11 0.258 0.556 0.146  0.00
O12 0.833 0.770 0.110  -0.08
P2 0.122 0.749 0.627  0.01
P3 0.878 0.251 0.373  0.01
O13 0.749 0.061 0.379  0.02
Co2 0.000 0.000 0.000  2.71
O14 0.242 0.556 0.646  0.00
O15 0.667 0.770 0.610  -0.08
P4 0.378 0.749 0.127  0.01
O16 0.990 0.259 0.547  0.01
O17 0.167 0.230 0.890  -0.08
O18 0.758 0.444 0.354  0.00
O19 0.249 0.939 0.121  0.02
O20 0.995 0.777 0.794  0.03